(1)
Entry from Alexandria via LeMat-Bulk: Zr4Co2N after structural relaxation (PBE). Values from VASP.

Geometry as Quantum ESPRESSO input:
```
&SYSTEM
  ibrav = 0, nat = 28, ntyp = 3
/
ATOMIC_SPECIES
Zr 91.22 Zr.upf
Co 58.93 Co.upf
N 14.01 N.upf
CELL_PARAMETERS angstrom
-8.5361 -0.3956 1.1541
-3.2521 -0.5639 7.9661
-4.2028 6.7048 3.4257
ATOMIC_POSITIONS angstrom
Zr -5.7263 3.7887 7.2641
Zr -8.3683 3.8728 3.8581
Zr -7.8929 0.2385 6.1283
Zr -9.9943 3.5909 7.8412
Zr -10.3849 0.4584 8.0668
Zr -5.6060 5.2870 4.4791
Zr -10.9839 5.0377 5.2062
Zr -5.0071 0.7076 7.3397
Zr -7.6549 4.9317 9.4979
Zr -8.3361 0.8136 3.0480
Zr -5.4010 0.0185 4.1899
Zr -2.5945 2.8542 2.0830
Zr -5.7528 2.7078 2.5100
Zr -2.2427 0.1649 3.7629
Zr -3.7977 2.6456 5.0304
Zr -4.1978 0.2271 1.2425
Co -9.6000 2.2250 5.5721
Co -7.7318 2.1655 7.9804
Co -8.0680 4.7353 6.3752
Co -6.5821 2.3649 5.1641
Co -10.3887 4.9567 10.1103
Co -12.2568 5.0162 7.7019
Co -11.9207 2.4464 9.3072
Co -13.4066 4.8168 10.5183
N -6.2669 0.5204 2.1453
N -3.6249 0.4362 5.5513
N -4.1003 4.0706 3.2811
N -1.9989 0.7182 1.5682
```

Calculated values
* formation energy from raw total energies: -0.711 eV/atom
* Fermi-level density of states: 0.9629 states/eV per atom
* total magnetization: 0.000 μB/f.u.
* ρ: 7.278 g/cm³
* polymorph energy (0 for the lowest one): 0 meV/atom
* uncorrected energy: -8.815 eV/atom

***

(2)
Entry from Alexandria via LeMat-Bulk: Na4Co after structural relaxation (PBE). Values from VASP.

Geometry as Quantum ESPRESSO input:
```
&SYSTEM
  ibrav = 0, nat = 5, ntyp = 2
/
ATOMIC_SPECIES
Na 22.99 Na.upf
Co 58.93 Co.upf
CELL_PARAMETERS angstrom
-2.9808 4.6563 1.0256
-0.6832 -1.6142 5.3428
4.7187 2.7076 1.4214
ATOMIC_POSITIONS angstrom
Na 0.0000 0.0000 0.0000
Na 0.8690 3.6820 1.2235
Na 2.0178 0.5467 3.3821
Na -1.8320 1.5211 3.1842
Co 0.5274 2.8749 3.8949
```

Calculated values
* ΔE_f: 635 meV per atom
* Fermi-level density of states: 1.9523 states/eV per atom
* total magnetization: 1.691 μB/f.u.
* ρ: 1.409 g/cm³
* uncorrected energy: -1.842 eV/atom

***

(3)
Entry from Alexandria via LeMat-Bulk: NaCo4 after structural relaxation (PBE). Values from VASP.

Geometry as Quantum ESPRESSO input:
```
&SYSTEM
  ibrav = 0, nat = 5, ntyp = 2
/
ATOMIC_SPECIES
Na 22.99 Na.upf
Co 58.93 Co.upf
CELL_PARAMETERS angstrom
-3.9693 0.1893 1.4789
-0.0159 -4.2109 0.4965
1.4908 0.4593 3.9427
ATOMIC_POSITIONS angstrom
Na -1.2472 -1.7811 2.9590
Co 0.0000 0.0000 0.0000
Co -1.2392 0.3243 2.7108
Co 0.7375 -1.8758 2.2196
Co -1.9926 -2.0108 0.9877
```

Calculated values
* ΔE_f: 2089 meV per atom
* Fermi-level density of states: 1.9531 states/eV per atom
* total magnetization: 6.843 μB/f.u.
* ρ: 5.636 g/cm³
* uncorrected energy: -3.860 eV/atom

***

(4)
Entry from Alexandria via LeMat-Bulk: NaNb2Co after structural relaxation (PBE). Values from VASP.

Geometry as Quantum ESPRESSO input:
```
&SYSTEM
  ibrav = 0, nat = 4, ntyp = 3
/
ATOMIC_SPECIES
Na 22.99 Na.upf
Nb 92.91 Nb.upf
Co 58.93 Co.upf
CELL_PARAMETERS angstrom
-1.4481 -4.2597 0.0036
-4.4127 -0.8758 0.0568
-2.0037 -1.6979 -3.6530
ATOMIC_POSITIONS angstrom
Na 0.0000 0.0000 0.0000
Nb -1.9661 -1.7084 -0.8981
Nb -5.8984 -5.1251 -2.6944
Co -3.9322 -3.4167 -1.7963
```

Calculated values
* ΔE_f: 767 meV per atom
* Fermi-level density of states: 1.2913 states/eV per atom
* total magnetization: 0.000 μB/f.u.
* ρ: 6.904 g/cm³
* polymorph energy (0 for the lowest one): 0 meV/atom
* uncorrected energy: -6.374 eV/atom